1.
# MnB2Pd8

A geometry-optimized MnB2Pd8 structure (PBE, the Alexandria database).

Values from the calculation:
final energy: -5.950 eV per atom
space-group type: C2/m

The structure in extended XYZ format:
```
11
Lattice="-2.6168 2.8329 -3.0538 -1.8327 -5.9017 -2.4147 -4.8326 -4.2033 1.7315" Properties=species:S:1:pos:R:3 pbc="T T T"
Pd -3.6976 0.4973 -2.8790
Pd -4.4695 -5.8006 -2.6072
B -2.6304 -1.8398 -1.1495
Mn 0.0000 0.0000 0.0000
Pd -5.5845 -7.7693 -0.8580
Pd -5.9702 -3.4687 -2.8987
B -6.6517 -5.4322 -2.5875
Pd -4.8126 -1.4714 -1.1298
Pd -5.9664 -4.9532 -0.5384
Pd -3.3157 -2.3188 -3.1986
Pd -3.3119 -3.8033 -0.8383
```

2.
# HfCuSb3

A geometry-optimized HfCuSb3 structure (PBE, the Alexandria database).

Values from the calculation:
excess energy over the best structure of this formula in the dataset: 0.317 eV per formula unit
final energy: -4.657 eV per atom
space-group type: Pm-3m

The structure in extended XYZ format:
```
5
Lattice="-5.3790 -0.9749 -0.2110 0.7583 -4.7485 2.6086 -0.6480 2.5356 4.8041" Properties=species:S:1:pos:R:3 pbc="T T T"
Hf 0.0000 0.0000 0.0000
Sb -0.3240 1.2678 2.4020
Sb 0.3792 -2.3743 1.3043
Cu -2.6343 -1.5939 3.6008
Sb -2.6895 -0.4875 -0.1055
```

3.
# Li12Pd3F5

A geometry-optimized Li12Pd3F5 structure (PBE, the Alexandria database).

Values from the calculation:
final energy: -3.820 eV per atom
space-group type: Ia-3d

The structure in extended XYZ format:
```
80
Lattice="-8.7370 -3.9182 -6.1725 8.1452 -7.9478 0.5248 -3.5896 2.4597 10.5286" Properties=species:S:1:pos:R:3 pbc="T T T"
Li -0.8468 -6.0667 6.7246
Li 0.0434 -1.2636 1.7088
Li 3.5002 -6.0005 -0.0269
Li 0.6553 -8.2902 1.0876
Li -6.9794 -4.6453 -0.2217
Pd -7.5241 -3.8070 -2.7032
Li -1.8144 -6.1733 3.9507
F 0.0000 0.0000 0.0000
F -0.2959 -5.9330 -2.8238
Pd -3.9470 -5.6116 -3.1165
Li 2.0069 -3.5510 0.5319
Li 2.2192 -6.5705 2.8592
Li -7.6816 -3.4058 4.9078
Pd -0.2344 -3.7947 7.9974
Li -3.0610 -8.7571 0.3465
F 1.0649 -2.8553 2.0574
Li -4.4798 -0.9414 0.8978
Li -3.4361 0.3684 6.3048
Li -2.3670 -3.2331 0.9302
F -4.9505 -0.6181 5.6474
F -1.7948 1.2298 5.2643
F -2.8081 -6.9837 -0.3531
Li -4.2249 -8.1428 3.1721
F -7.8521 -3.8781 1.3107
Li -5.1757 -2.3573 6.4366
Li 0.1468 -1.2443 8.7095
Li -9.4381 -2.8687 0.9056
Li -6.1884 -5.8553 4.3490
F 2.2778 -2.7441 5.5267
F -8.6755 -1.7799 4.6488
Li -6.4007 -2.8359 2.0217
Li -3.8261 -4.9352 6.1627
Pd 0.9170 -5.8218 0.6455
Pd 3.3427 -5.5993 7.5841
Li 1.7920 -7.3150 6.5796
Li -5.2209 -3.6485 -4.0548
Pd -1.6692 -8.3557 2.4102
Li -10.3631 -2.0080 3.7552
Li -6.5390 -6.1279 -2.7016
Li -4.2878 0.9082 9.2543
F -1.6888 -3.1488 -0.8674
Li -1.6963 -6.2450 1.0313
Li -5.9734 -2.0914 -1.6987
Li 0.9943 -7.0491 -1.5557
F 4.0726 -3.9739 0.2624
Pd -5.0984 -3.5846 4.2355
Li -4.4358 -6.0115 -0.6755
Li 0.0113 -4.3968 2.5180
F 0.7690 -8.7883 -0.7665
Pd -1.9847 -9.0818 -3.6913
Li 0.2983 -8.4649 3.9831
Li -2.0393 -6.9211 -2.1148
Li -2.4851 -3.1614 3.8496
Li -4.1928 -5.0096 2.3629
Li -3.3347 -3.3396 -1.8437
F -5.2464 -6.5511 2.8235
Li 0.1063 -10.3145 -4.3734
Pd -2.5122 -1.0507 2.4707
Li 0.2544 -3.3948 5.5564
Pd -4.7704 -3.5135 0.2216
Li -4.3283 -8.1621 -3.8286
Li -4.8368 -1.1161 3.7933
Li 5.2567 -6.5376 3.9753
Li 2.7980 -4.7610 5.1026
Pd 0.5890 -5.8929 4.6593
Li 1.0394 -5.7579 8.9357
F -2.0907 -4.7032 2.4405
Pd -2.1968 -0.3245 8.5722
F 3.6707 -5.5282 3.5702
F -6.1633 -0.7293 2.1781
F -4.3685 -1.9591 -3.0862
Li -2.1421 -2.4853 6.9957
F -2.4927 -6.2575 5.7483
Li 6.1817 -7.3984 1.1257
Li -0.7453 -9.7747 -1.4239
F -1.3733 -2.4227 5.2340
Li 2.3576 -3.2784 7.5826
Li -1.1204 -0.6492 4.5344
F 4.4941 -7.6264 0.2321
Li -0.3553 -4.4712 -1.2818
```